K3LaAs | Alexandria via LeMat-Bulk | GGA-PBE | relaxed; total energy = -1.4554 eV/atom; volume = 55.62 Å³ per atom; DOS(E_F) = 0.781 states/eV/atom; calculated formation energy = 107.9 kJ/mol of atoms; magnetic moment = 2.78 μB/cell
1.0
-0.5251 3.1226 5.7079
0.3600 -5.7038 3.1534
6.4963 0.5685 0.2866
K La As
3 1 1
direct
0.0000 0.5000 0.0000
0.0000 0.0000 0.5000
0.5000 0.0000 0.0000
0.0000 0.0000 0.0000
0.5000 0.5000 0.5000